Compound: BaBiAu4
Source: Alexandria via LeMat-Bulk
Functional: PBE-GGA
Structure: relaxed

Its spin magnetization is 0.000 μB/cell. The value obtained for the energy above the lowest structure with this stoichiometry is 0.00 kcal/mol of atoms. The value obtained for the energy of formation from the pure elements is -0.373 eV/atom.

The structure belongs to space group F-43m (No. 216); the cell edges are 8.2945, 8.2945 and 8.2945 Å and the angles 90.00°, 90.00° and 90.00°. The inequivalent atoms are Ba at (0.0000, 0.0000, 0.0000), Bi at (0.2500, 0.2500, 0.2500) and Au at (0.1248, 0.1248, 0.6248).

Compound: BaBi4Au4
Source: Alexandria via LeMat-Bulk
Functional: PBE-GGA
Structure: relaxed

Its spin magnetization is 0.000 μB/cell. The value obtained for the energy of formation from the pure elements is -0.276 eV/atom.

The structure belongs to space group P4_2/nmc (No. 137, origin choice 2); the cell edges are 7.2943, 7.2943 and 9.8887 Å and the angles 90.00°, 90.00° and 90.00°. The inequivalent atoms are Ba at (0.2500, 0.7500, 0.2500), Bi at (0.0048, 0.2500, 0.1079) and Au at (0.0585, 0.2500, 0.4029).

Compound: Ba2Bi2Au
Source: Alexandria via LeMat-Bulk
Functional: PBE-GGA
Structure: relaxed

Its spin magnetization is 0.000 μB/cell. The value obtained for the energy above the lowest structure with this stoichiometry is 0.32 kcal/mol of atoms. The value obtained for the energy of formation from the pure elements is -0.758 eV/atom.

The structure belongs to space group Amm2 (No. 38); the cell edges are 4.8029, 4.6914 and 16.3720 Å and the angles 90.00°, 90.00° and 90.00°. The inequivalent atoms are Ba at (0.0000, 0.0000, 0.0000), Ba at (0.0000, 0.0000, 0.2407), Bi at (0.5000, 0.0000, 0.6111), Bi at (0.5000, 0.0000, 0.8290) and Au at (0.5000, 0.0000, 0.4315).

Compound: Ba2Bi2Au
Source: Alexandria via LeMat-Bulk
Functional: PBE-GGA
Structure: relaxed

Its spin magnetization is 0.000 μB/cell. The value obtained for the energy above the lowest structure with this stoichiometry is 3.51 kcal/mol of atoms. The value obtained for the energy of formation from the pure elements is -0.620 eV/atom.

The structure belongs to space group P4/mbm (No. 127); the cell edges are 8.2795, 8.2795 and 5.3188 Å and the angles 90.00°, 90.00° and 90.00°. The inequivalent atoms are Ba at (0.1730, 0.3270, 0.0000), Bi at (0.1366, 0.6366, 0.5000) and Au at (0.0000, 0.0000, 0.5000).

Compound: Ba3BiAu
Source: Alexandria via LeMat-Bulk
Functional: PBE-GGA
Structure: relaxed

Its spin magnetization is 0.001 μB/cell. The value obtained for the energy above the lowest structure with this stoichiometry is 0.00 kcal/mol of atoms. The value obtained for the energy of formation from the pure elements is -0.576 eV/atom.

The structure belongs to space group P-1 (No. 2); the cell edges are 5.1527, 9.9767 and 11.2294 Å and the angles 103.35°, 90.24° and 104.72°. The inequivalent atoms are Ba at (0.0211, 0.0382, 0.2205), Ba at (0.1798, 0.3543, 0.5841), Ba at (0.3334, 0.6705, 0.9458), Bi at (0.3663, 0.7357, 0.6372) and Au at (0.1576, 0.3135, 0.8699).

Compound: BaBi4Au2
Source: Alexandria via LeMat-Bulk
Functional: PBE-GGA
Structure: relaxed

Its spin magnetization is 0.000 μB/cell. The value obtained for the energy above the lowest structure with this stoichiometry is 0.40 kcal/mol of atoms. The value obtained for the energy of formation from the pure elements is -0.316 eV/atom.

The structure belongs to space group Cmmm (No. 65); the cell edges are 4.7704, 19.0619 and 4.7318 Å and the angles 90.00°, 90.00° and 90.00°. The inequivalent atoms are Ba at (0.0000, 0.0000, 0.0000), Bi at (0.0000, 0.1685, 0.5000), Bi at (0.0000, 0.3278, 0.0000) and Au at (0.0000, 0.4277, 0.5000).

Compound: BaBi2Au2
Source: Alexandria via LeMat-Bulk
Functional: PBE-GGA
Structure: relaxed

Its spin magnetization is 0.000 μB/cell. The value obtained for the energy of formation from the pure elements is -0.514 eV/atom.

The structure belongs to space group I4/mmm (No. 139); the cell edges are 4.7974, 4.7974 and 13.0129 Å and the angles 90.00°, 90.00° and 90.00°. The inequivalent atoms are Ba at (0.0000, 0.0000, 0.0000), Bi at (0.0000, 0.5000, 0.2500) and Au at (0.0000, 0.0000, 0.3961).

Compound: Ba2Bi5Au3
Source: Alexandria via LeMat-Bulk
Functional: PBE-GGA
Structure: relaxed

Its spin magnetization is 0.000 μB/cell. The value obtained for the energy above the lowest structure with this stoichiometry is 1.47 kcal/mol of atoms. The value obtained for the energy of formation from the pure elements is -0.384 eV/atom.

The structure belongs to space group P-4m2 (No. 115); the cell edges are 4.8693, 4.8693 and 13.7164 Å and the angles 90.00°, 90.00° and 90.00°. The inequivalent atoms are Ba at (0.0000, 0.5000, 0.2058), Bi at (0.0000, 0.0000, 0.5000), Bi at (0.0000, 0.5000, 0.6758), Bi at (0.5000, 0.5000, 0.0000), Bi at (0.5000, 0.5000, 0.5000), Au at (0.0000, 0.0000, 0.0000) and Au at (0.0000, 0.5000, 0.8822).

Compound: BaBi4Au2
Source: Alexandria via LeMat-Bulk
Functional: PBE-GGA
Structure: relaxed

Its spin magnetization is 0.000 μB/cell. The value obtained for the energy above the lowest structure with this stoichiometry is 0.00 kcal/mol of atoms. The value obtained for the energy of formation from the pure elements is -0.333 eV/atom.

The structure belongs to space group P4_2/mnm (No. 136); the cell edges are 9.5977, 9.5977 and 4.6603 Å and the angles 90.00°, 90.00° and 90.00°. The inequivalent atoms are Ba at (0.0000, 0.0000, 0.0000), Bi at (0.0827, 0.3168, 0.5000) and Au at (0.2108, 0.7892, 0.5000).

Compound: Ba3Bi5Au12
Source: Alexandria via LeMat-Bulk
Functional: PBE-GGA
Structure: relaxed

Its spin magnetization is 0.000 μB/cell. The value obtained for the energy of formation from the pure elements is -0.041 eV/atom.

The structure belongs to space group Ia-3d (No. 230); the cell edges are 17.6082, 17.6082 and 17.6082 Å and the angles 90.00°, 90.00° and 90.00°. The inequivalent atoms are Ba at (0.0000, 0.2500, 0.1250), Bi at (0.0000, 0.0000, 0.0000), Bi at (0.0000, 0.2500, 0.3750) and Au at (0.0210, 0.0620, 0.6474).

Which value of spin magnetization does entry 1 give? 0.000 μB/cell

What is the spin magnetization in the third record? 0.000 μB/cell

What did the second record say?
Compound: BaBi4Au4
Source: Alexandria via LeMat-Bulk
Functional: PBE-GGA
Structure: relaxed

Its spin magnetization is 0.000 μB/cell. The value obtained for the energy of formation from the pure elements is -0.276 eV/atom.

The structure belongs to space group P4_2/nmc (No. 137, origin choice 2); the cell edges are 7.2943, 7.2943 and 9.8887 Å and the angles 90.00°, 90.00° and 90.00°. The inequivalent atoms are Ba at (0.2500, 0.7500, 0.2500), Bi at (0.0048, 0.2500, 0.1079) and Au at (0.0585, 0.2500, 0.4029).